(1)
The following is a PBE calculation of an optimized crystal structure of MgSi3Pd, from the Alexandria database.

Computed properties:
Formation energy from raw total energies = 0.497 eV per atom
Total DFT energy (no corrections) = -4.1140 eV per atom
Space group = Pm-3m (221)
Density = 3338 kg/m³

Cell lengths 4.747, 4.747, 4.747 Å; angles 90.00, 90.00, 90.00 degrees
Fractional coordinates of all 5 atoms:
Mg 0.000 0.000 0.000
Si 0.000 0.500 0.500
Si 0.500 0.000 0.500
Si 0.500 0.500 0.000
Pd 0.500 0.500 0.500

(2)
The following is a PBE calculation of an optimized crystal structure of Np2Be4Si3Pd, from the Alexandria database.

Computed properties:
Formation energy from raw total energies = -0.254 eV per atom
Total DFT energy (no corrections) = -6.4790 eV per atom
Space group = P-4m2 (115)
Density = 8079 kg/m³

Cell lengths 3.853, 3.853, 9.700 Å; angles 90.00, 90.00, 90.00 degrees
Fractional coordinates of all 10 atoms:
Np 0.000 0.500 0.242
Np 0.500 0.000 0.758
Be 0.000 0.000 0.000
Be 0.000 0.500 0.635
Be 0.500 0.000 0.365
Be 0.500 0.500 0.000
Si 0.000 0.500 0.868
Si 0.500 0.000 0.132
Si 0.500 0.500 0.500
Pd 0.000 0.000 0.500